1.
# Tb2TmSb2Te2, optimized geometry, DFT PBE
# E = -4.7233 eV/atom
# SG = I4/mmm (139)
# Spin magnetization = 0.0 Bohr magnetons per cell
# Fermi-level density of states = 4.87 states/eV/f.u.
# Formation energy (no corrections) = -0.69 eV/atom
data_Tb2TmSb2Te2
_cell_length_a 5.6766
_cell_length_b 5.6766
_cell_length_c 8.5975
_cell_angle_alpha 109.28
_cell_angle_beta 109.28
_cell_angle_gamma 90.00
_symmetry_space_group_name_H-M 'P 1'
_symmetry_Int_Tables_number 1
loop_
_symmetry_equiv_pos_as_xyz
'x,y,z'
loop_
_atom_site_label
_atom_site_type_symbol
_atom_site_fract_x
_atom_site_fract_y
_atom_site_fract_z
_atom_site_occupancy
Te1 Te 0.8036 0.8036 0.6071 1
Te2 Te 0.1964 0.1964 0.3929 1
Sb1 Sb 0.5000 0.0000 0.0000 1
Sb2 Sb 0.0000 0.5000 0.0000 1
Tb1 Tb 0.6126 0.6126 0.2251 1
Tb2 Tb 0.3874 0.3874 0.7749 1
Tm1 Tm 0.0000 0.0000 0.0000 1

2.
# Tb2ThSb, optimized geometry, DFT PBE
# E = -5.6541 eV/atom
# SG = P4/mmm (123)
# Spin magnetization = 0.0 Bohr magnetons per cell
# Fermi-level density of states = 3.42 states/eV/f.u.
# Polymorph energy (0 for the lowest one) = 46 meV/atom
# Formation energy (no corrections) = -0.45 eV/atom
data_Tb2ThSb
_cell_length_a 4.7052
_cell_length_b 4.9068
_cell_length_c 4.9068
_cell_angle_alpha 90.00
_cell_angle_beta 90.00
_cell_angle_gamma 90.00
_symmetry_space_group_name_H-M 'P 1'
_symmetry_Int_Tables_number 1
loop_
_symmetry_equiv_pos_as_xyz
'x,y,z'
loop_
_atom_site_label
_atom_site_type_symbol
_atom_site_fract_x
_atom_site_fract_y
_atom_site_fract_z
_atom_site_occupancy
Tb1 Tb 0.0000 0.5000 0.0000 1
Tb2 Tb 0.0000 0.0000 0.5000 1
Th1 Th 0.5000 0.5000 0.5000 1
Sb1 Sb 0.5000 0.0000 0.0000 1

3.
# Tb5ThSb6, optimized geometry, DFT PBE
# E = -5.7298 eV/atom
# SG = C2/m (12)
# Spin magnetization = 0.0 Bohr magnetons per cell
# Fermi-level density of states = 3.09 states/eV/f.u.
# Formation energy (no corrections) = -1.12 eV/atom
data_Tb5ThSb6
_cell_length_a 7.6614
_cell_length_b 7.6579
_cell_length_c 7.6550
_cell_angle_alpha 59.99
_cell_angle_beta 80.40
_cell_angle_gamma 70.53
_symmetry_space_group_name_H-M 'P 1'
_symmetry_Int_Tables_number 1
loop_
_symmetry_equiv_pos_as_xyz
'x,y,z'
loop_
_atom_site_label
_atom_site_type_symbol
_atom_site_fract_x
_atom_site_fract_y
_atom_site_fract_z
_atom_site_occupancy
Sb1 Sb 0.2530 0.5788 0.3367 1
Sb2 Sb 0.7470 0.4212 0.6633 1
Sb3 Sb 0.2509 0.2534 0.0000 1
Sb4 Sb 0.2530 0.9155 0.6633 1
Sb5 Sb 0.7470 0.0845 0.3367 1
Sb6 Sb 0.7491 0.7466 0.0000 1
Th1 Th 0.0000 0.0000 0.0000 1
Tb1 Tb 0.0000 0.3329 0.3342 1
Tb2 Tb 0.5000 0.5000 0.0000 1
Tb3 Tb 0.5000 0.1652 0.6696 1
Tb4 Tb 0.5000 0.8348 0.3304 1
Tb5 Tb 0.0000 0.6671 0.6658 1

4.
# TbTh2Sb4, optimized geometry, DFT PBE
# E = -6.0466 eV/atom
# SG = I-42d (122)
# Spin magnetization = 0.0 Bohr magnetons per cell
# Fermi-level density of states = 3.89 states/eV/f.u.
# Formation energy (no corrections) = -0.91 eV/atom
data_TbTh2Sb4
_cell_length_a 8.1243
_cell_length_b 8.1243
_cell_length_c 8.1243
_cell_angle_alpha 109.69
_cell_angle_beta 109.04
_cell_angle_gamma 109.69
_symmetry_space_group_name_H-M 'P 1'
_symmetry_Int_Tables_number 1
loop_
_symmetry_equiv_pos_as_xyz
'x,y,z'
loop_
_atom_site_label
_atom_site_type_symbol
_atom_site_fract_x
_atom_site_fract_y
_atom_site_fract_z
_atom_site_occupancy
Sb1 Sb 0.4677 0.0947 0.2126 1
Sb2 Sb 0.6321 0.7551 0.0374 1
Sb3 Sb 0.6270 0.7449 0.5323 1
Sb4 Sb 0.1230 0.4053 0.3679 1
Sb5 Sb 0.1179 0.9053 0.3730 1
Sb6 Sb 0.9626 0.5947 0.7177 1
Sb7 Sb 0.7874 0.2551 0.8821 1
Sb8 Sb 0.2823 0.2449 0.8770 1
Tb1 Tb 0.0000 0.0000 0.0000 1
Tb2 Tb 0.7500 0.5000 0.2500 1
Th1 Th 0.4966 0.3716 0.6250 1
Th2 Th 0.2534 0.6284 0.1250 1
Th3 Th 0.3750 0.8716 0.7466 1
Th4 Th 0.8750 0.1284 0.5034 1

5.
# Tb2ThSb3, optimized geometry, DFT PBE
# E = -5.9192 eV/atom
# SG = Immm (71)
# Spin magnetization = 0.0 Bohr magnetons per cell
# Fermi-level density of states = 2.07 states/eV/f.u.
# Formation energy (no corrections) = -1.08 eV/atom
data_Tb2ThSb3
_cell_length_a 4.4502
_cell_length_b 6.2962
_cell_length_c 7.6690
_cell_angle_alpha 114.24
_cell_angle_beta 106.87
_cell_angle_gamma 90.00
_symmetry_space_group_name_H-M 'P 1'
_symmetry_Int_Tables_number 1
loop_
_symmetry_equiv_pos_as_xyz
'x,y,z'
loop_
_atom_site_label
_atom_site_type_symbol
_atom_site_fract_x
_atom_site_fract_y
_atom_site_fract_z
_atom_site_occupancy
Tb1 Tb 0.8345 0.8345 0.1690 1
Tb2 Tb 0.1655 0.1655 0.8310 1
Sb1 Sb 0.1703 0.6703 0.8406 1
Sb2 Sb 0.8297 0.3297 0.1594 1
Sb3 Sb 0.5000 0.0000 0.5000 1
Th1 Th 0.5000 0.5000 0.5000 1

6.
# TbTh4Sb6, optimized geometry, DFT PBE
# E = -6.1865 eV/atom
# SG = R-3c (167)
# Spin magnetization = 0.0 Bohr magnetons per cell
# Fermi-level density of states = 4.94 states/eV/f.u.
# Formation energy (no corrections) = -0.82 eV/atom
data_TbTh4Sb6
_cell_length_a 8.7883
_cell_length_b 8.7883
_cell_length_c 8.7883
_cell_angle_alpha 90.41
_cell_angle_beta 90.41
_cell_angle_gamma 89.59
_symmetry_space_group_name_H-M 'P 1'
_symmetry_Int_Tables_number 1
loop_
_symmetry_equiv_pos_as_xyz
'x,y,z'
loop_
_atom_site_label
_atom_site_type_symbol
_atom_site_fract_x
_atom_site_fract_y
_atom_site_fract_z
_atom_site_occupancy
Sb1 Sb 0.4207 0.5633 0.8286 1
Sb2 Sb 0.5633 0.1714 0.5793 1
Sb3 Sb 0.9207 0.6714 0.9367 1
Sb4 Sb 0.6714 0.0633 0.0793 1
Sb5 Sb 0.1714 0.4207 0.4367 1
Sb6 Sb 0.0633 0.9207 0.3286 1
Sb7 Sb 0.5793 0.4367 0.1714 1
Sb8 Sb 0.4367 0.8286 0.4207 1
Sb9 Sb 0.8286 0.5793 0.5633 1
Sb10 Sb 0.9367 0.0793 0.6714 1
Sb11 Sb 0.0793 0.3286 0.0633 1
Sb12 Sb 0.3286 0.9367 0.9207 1
Th1 Th 0.3581 0.1419 0.2500 1
Th2 Th 0.8581 0.2500 0.3581 1
Th3 Th 0.7500 0.3581 0.8581 1
Th4 Th 0.2500 0.6419 0.1419 1
Th5 Th 0.6419 0.8581 0.7500 1
Th6 Th 0.1419 0.7500 0.6419 1
Th7 Th 0.7500 0.7500 0.2500 1
Th8 Th 0.2500 0.2500 0.7500 1
Tb1 Tb 0.0000 0.0000 0.0000 1
Tb2 Tb 0.5000 0.5000 0.5000 1